The following is a GGA-PBE calculation of a relaxed structure of RbBaHg4, from OQMD.

The structure belongs to space group Imm2 (No. 44); the cell edges are 5.3962, 8.3624 and 8.8962 Å and the angles 90.00°, 90.00° and 90.00°. The inequivalent atoms are Rb at (0.0000, 0.0000, 0.0000), Ba at (0.0000, 0.5000, 0.0822), Hg at (0.0000, 0.1908, 0.3792) and Hg at (0.0000, 0.2981, 0.7117).

Its raw total energy is -12.4 eV for the cell shown. The value obtained for the volume is 33.45 A^3/atom.

---

The following is a GGA-PBE calculation of a relaxed structure of BaReHg, from OQMD.

The structure belongs to space group F-43m (No. 216); the cell edges are 7.1967, 7.1967 and 7.1967 Å and the angles 90.00°, 90.00° and 90.00°. The inequivalent atoms are Ba at (0.0000, 0.0000, 0.0000), Re at (0.2500, 0.2500, 0.2500) and Hg at (0.0000, 0.0000, 0.5000).

The value obtained for the volume is 31.06 A^3/atom. The excess energy over the best structure of this formula in the dataset comes out at 0.000 eV per atom.

---

The following is a GGA-PBE calculation of a relaxed structure of Ba2HgS5, from OQMD.

The structure belongs to space group Pnma (No. 62); the cell edges are 12.3087, 8.7655 and 8.4615 Å and the angles 90.00°, 90.00° and 90.00°. The inequivalent atoms are Ba at (0.1892, 0.0065, 0.1434), Hg at (0.0088, 0.7500, 0.4877), S at (0.0272, 0.7500, 0.9310), S at (0.0670, 0.5523, 0.8060), S at (0.1775, 0.2500, 0.4433) and S at (0.1943, 0.7500, 0.4093).

Its raw total energy is -135.4 eV for the cell shown. The value obtained for the volume is 28.53 A^3/atom.

---

The following is a GGA-PBE calculation of a relaxed structure of BaHgS2, from OQMD.

The structure belongs to space group P2_1/c (No. 14); the cell edges are 6.5165, 12.5819 and 6.4299 Å and the angles 90.00°, 91.02° and 90.00°. The inequivalent atoms are Ba at (0.0783, 0.1158, 0.2543), Hg at (0.3507, 0.7021, 0.8852), S at (0.9995, 0.1327, 0.7530) and S at (0.4378, 0.6216, 0.2278).

Its raw total energy is -58.8 eV for the cell shown. The value obtained for the volume is 32.94 A^3/atom.

---

The following is a GGA-PBE calculation of a relaxed structure of BaHg2S3, from OQMD.

The structure belongs to space group Cmcm (No. 63); the cell edges are 4.1169, 13.9219 and 11.6542 Å and the angles 90.00°, 90.00° and 90.00°. The inequivalent atoms are Ba at (0.0000, 0.2229, 0.2500), Hg at (0.0000, 0.0000, 0.0000), Hg at (0.0000, 0.5000, 0.2500), S at (0.0000, 0.1105, 0.7500) and S at (0.0000, 0.3839, 0.5731).

Its raw total energy is -75.1 eV for the cell shown. The value obtained for the volume is 27.83 A^3/atom.

---

The following is a GGA-PBE calculation of a relaxed structure of Ba2TaHgS6, from OQMD.

The structure belongs to space group Fm-3m (No. 225); the cell edges are 10.0910, 10.0910 and 10.0910 Å and the angles 90.00°, 90.00° and 90.00°. The inequivalent atoms are Ba at (0.2500, 0.2500, 0.2500), Ta at (0.0000, 0.0000, 0.0000), Hg at (0.0000, 0.0000, 0.5000) and S at (0.0000, 0.0000, 0.2403).

The value obtained for the volume is 25.69 A^3/atom. The excess energy over the best structure of this formula in the dataset comes out at 0.059 eV per atom.

---

Which value of volume does entry 6 give?
25.69 A^3/atom